# 1
# TaNbSn

A geometry-optimized TaNbSn structure (PBE, Alexandria).

abc: 8.7685 8.7685 4.6242
angles: 90.00 90.00 160.85
Last column: nearest neighbours and their distance in Å.
Atoms (fractional coordinates):
Ta 0.2079 0.7921 0.7500  1 Nb 2.87, 6 Ta 2.92-3.10, 5 Sn 2.95-3.11
Ta 0.7921 0.2079 0.2500  1 Nb 2.87, 6 Ta 2.92-3.10, 5 Sn 2.95-3.11
Nb 0.0419 0.9581 0.7500  4 Nb 2.73-2.92, 1 Ta 2.87
Nb 0.9581 0.0419 0.2500  4 Nb 2.73-2.92, 1 Ta 2.87
Sn 0.3783 0.6217 0.7500  2 Sn 2.92, 5 Ta 2.95-3.11, 6 Nb 3.06-3.18
Sn 0.6217 0.3783 0.2500  2 Sn 2.92, 5 Ta 2.95-3.11, 6 Nb 3.06-3.18


# 2
# TaNb4Sn

A geometry-optimized TaNb4Sn structure (PBE, Alexandria).

abc: 5.3913 5.3913 6.7036
angles: 106.15 106.15 37.43
Last column: nearest neighbours and their distance in Å.
Atoms (fractional coordinates):
Ta 0.0000 0.0000 0.0000  8 Nb 2.84-2.94
Nb 0.3232 0.3232 0.6781  4 Nb 2.79-2.97, 2 Ta 2.94, 2 Sn 2.99
Nb 0.3357 0.3357 0.1626  4 Nb 2.79-2.93, 2 Ta 2.84, 2 Sn 2.95
Nb 0.6643 0.6643 0.8374  4 Nb 2.79-2.93, 2 Ta 2.84, 2 Sn 2.95
Nb 0.6768 0.6768 0.3219  4 Nb 2.79-2.97, 2 Ta 2.94, 2 Sn 2.99
Sn 0.0000 0.0000 0.5000  10 Nb 2.95-3.16


# 3
# Ta8Nb3Sn

A geometry-optimized Ta8Nb3Sn structure (PBE, Alexandria).

abc: 7.2874 7.2874 7.2874
angles: 135.50 99.06 97.44
Last column: nearest neighbours and their distance in Å.
Atoms (fractional coordinates):
Ta 0.0759 0.8307 0.2453  4 Ta 2.81-2.88, 1 Nb 2.83, 1 Sn 2.91
Ta 0.2453 0.4998 0.2545  6 Ta 2.71-2.88, 1 Nb 2.75, 1 Sn 2.80
Ta 0.2453 0.9908 0.7455  6 Ta 2.71-2.88, 1 Nb 2.75, 1 Sn 2.80
Ta 0.4146 0.1693 0.2453  4 Ta 2.81-2.88, 1 Nb 2.83, 1 Sn 2.91
Ta 0.5854 0.8307 0.7547  4 Ta 2.81-2.88, 1 Nb 2.83, 1 Sn 2.91
Ta 0.7547 0.0092 0.2545  6 Ta 2.71-2.88, 1 Nb 2.75, 1 Sn 2.80
Ta 0.7547 0.5002 0.7455  6 Ta 2.71-2.88, 1 Nb 2.75, 1 Sn 2.80
Ta 0.9241 0.1693 0.7547  4 Ta 2.81-2.88, 1 Nb 2.83, 1 Sn 2.91
Nb 0.0000 0.0000 0.0000  8 Ta 2.75-2.83
Nb 0.1642 0.5000 0.6642  3 Nb 3.11-3.17, 10 Ta 3.13-3.29
Nb 0.8358 0.5000 0.3358  3 Nb 3.11-3.17, 10 Ta 3.13-3.29
Sn 0.5000 0.0000 0.5000  8 Ta 2.80-2.91


# 4
# TaNbSn2

A geometry-optimized TaNbSn2 structure (PBE, Alexandria).

abc: 4.8284 4.8284 4.8284
angles: 60.00 60.00 60.00
Last column: nearest neighbours and their distance in Å.
Atoms (fractional coordinates):
Ta 0.0000 0.0000 0.0000  8 Sn 2.96
Nb 0.5000 0.5000 0.5000  8 Sn 2.96
Sn 0.2500 0.2500 0.2500  4 Ta 2.96, 4 Nb 2.96
Sn 0.7500 0.7500 0.7500  4 Ta 2.96, 4 Nb 2.96


E_form per entry: 183 -54 434 226 meV/atom
Total magnetization per entry: 0.00 0.00 0.00 0.00 μB per formula unit